The following is a PBE calculation of a relaxed structure of Np3BiS6, from the Alexandria database.

Cell lengths 4.069, 11.043, 11.526 Å; angles 107.35, 90.00, 90.00 degrees
Last column: magnetic moment on the atom in μB.
Fractional coordinates of all 20 atoms:
Bi1 0.250 0.990 0.326  -0.06
Bi2 0.750 0.010 0.674  -0.06
Np1 0.250 0.329 0.508  -3.84
Np2 0.250 0.843 0.916  3.70
Np3 0.750 0.157 0.084  3.70
Np4 0.250 0.562 0.167  -3.75
Np5 0.750 0.671 0.492  -3.84
Np6 0.750 0.438 0.833  -3.75
S1 0.750 0.719 0.271  0.10
S2 0.250 0.514 0.385  0.11
S3 0.750 0.398 0.059  0.05
S4 0.250 0.873 0.524  0.04
S5 0.250 0.202 0.252  -0.04
S6 0.750 0.912 0.078  -0.10
S7 0.750 0.486 0.615  0.11
S8 0.750 0.127 0.476  0.04
S9 0.250 0.281 0.729  0.10
S10 0.250 0.602 0.941  0.05
S11 0.750 0.798 0.748  -0.04
S12 0.250 0.088 0.922  -0.10

Calculated values
DOS(E_F)   30.2 states/eV/f.u.
Space-group type   P2_1/m, No. 11
ΔE_f (raw)   -1.066 eV per atom


The following is a PBE calculation of a relaxed structure of ScWS2N, from the Alexandria database.

Cell lengths 4.864, 4.864, 4.016 Å; angles 90.00, 90.00, 90.00 degrees
Last column: magnetic moment on the atom in μB.
Fractional coordinates of all 5 atoms:
N1 0.000 0.000 0.500  -0.82
S1 0.000 0.500 0.000  -0.19
S2 0.500 0.000 0.000  -0.19
W1 0.500 0.500 0.500  2.83
Sc1 0.000 0.000 0.000  0.01

Calculated values
DOS(E_F)   1.7 states/eV/f.u.
Space-group type   P4/mmm, No. 123
ΔE_f (raw)   0.756 eV per atom
Polymorph energy (0 for the lowest one)   1164 meV/atom


The following is a PBE calculation of a relaxed structure of PmPaTePb, from the Alexandria database.

Cell lengths 5.416, 5.416, 5.416 Å; angles 60.00, 60.00, 60.00 degrees
Last column: magnetic moment on the atom in μB.
Fractional coordinates of all 4 atoms:
Pb1 0.000 0.000 0.000  -0.04
Te1 0.500 0.500 0.500  -0.04
Pm1 0.750 0.750 0.750  0.28
Pa1 0.250 0.250 0.250  0.95

Calculated values
DOS(E_F)   4.3 states/eV/f.u.
Space-group type   F-43m, No. 216
ΔE_f (raw)   -0.470 eV per atom


The following is a PBE calculation of a relaxed structure of Tl2AgIBr3, from the Alexandria database.

Cell lengths 5.632, 5.578, 9.022 Å; angles 108.01, 108.19, 90.00 degrees
Fractional coordinates of all 7 atoms:
Br1 0.000 0.500 0.000
Br2 0.169 0.169 0.338
Br3 0.831 0.831 0.662
Tl1 0.360 0.360 0.721
Tl2 0.640 0.640 0.279
Ag1 0.000 0.000 0.000
I1 0.500 0.000 0.000

Calculated values
DOS(E_F)   4.0 states/eV/f.u.
Space-group type   Immm, No. 71
ΔE_f (raw)   -0.508 eV per atom


The following is a PBE calculation of a relaxed structure of CuOsW, from the Alexandria database.

Cell lengths 4.178, 4.178, 4.178 Å; angles 60.00, 60.00, 60.00 degrees
Fractional coordinates of all 3 atoms:
Os1 0.750 0.750 0.750
W1 0.000 0.000 0.000
Cu1 0.500 0.500 0.500

Calculated values
DOS(E_F)   3.1 states/eV/f.u.
Space-group type   F-43m, No. 216
E_form   685 meV per atom
Polymorph energy (0 for the lowest one)   526 meV/atom


The following is a PBE calculation of a relaxed structure of HoMgSc2S4, from the Alexandria database.

Cell lengths 3.723, 6.501, 6.524 Å; angles 109.12, 90.00, 90.00 degrees
Fractional coordinates of all 8 atoms:
Sc1 0.500 0.000 0.500
Sc2 0.000 0.500 0.500
Ho1 0.500 0.500 0.000
S1 0.000 0.237 0.744
S2 0.500 0.761 0.751
S3 0.500 0.239 0.249
S4 0.000 0.763 0.256
Mg1 0.000 0.000 0.000

Calculated values
DOS(E_F)   3.7 states/eV/f.u.
Space-group type   P2/m, No. 10
ΔE_f (raw)   -1.725 eV per atom


The following is a PBE calculation of a relaxed structure of Sn2Pd2Au5, from the Alexandria database.

Cell lengths 6.772, 7.402, 9.143 Å; angles 113.88, 111.74, 90.00 degrees
Fractional coordinates of all 18 atoms:
Au1 0.374 0.022 0.304
Au2 0.430 0.522 0.304
Au3 0.570 0.219 0.696
Au4 0.188 0.693 0.500
Au5 0.997 0.323 0.169
Au6 0.327 0.653 0.831
Au7 0.003 0.153 0.831
Au8 0.812 0.193 0.500
Au9 0.626 0.719 0.696
Au10 0.673 0.823 0.169
Sn1 0.814 0.802 0.500
Sn2 0.186 0.302 0.500
Sn3 0.500 0.413 0.000
Sn4 0.000 0.913 0.000
Pd1 0.056 0.695 0.179
Pd2 0.624 0.195 0.179
Pd3 0.376 0.016 0.821
Pd4 0.944 0.516 0.821

Calculated values
DOS(E_F)   3.6 states/eV/f.u.
Space-group type   Ima2, No. 46
E_form   1 meV per atom


The following is a PBE calculation of a relaxed structure of La3PrTl4, from the Alexandria database.

Cell lengths 3.967, 3.967, 15.913 Å; angles 90.00, 90.00, 90.00 degrees
Fractional coordinates of all 8 atoms:
La1 0.500 0.500 0.248
La2 0.500 0.500 0.752
La3 0.500 0.500 0.500
Tl1 0.000 0.000 0.626
Tl2 0.000 0.000 0.374
Tl3 0.000 0.000 0.879
Tl4 0.000 0.000 0.121
Pr1 0.500 0.500 0.000

Calculated values
DOS(E_F)   8.7 states/eV/f.u.
Space-group type   P4/mmm, No. 123
E_form   -418 meV per atom
Polymorph energy (0 for the lowest one)   0 meV/atom


Number 1: DFT total energy -156.257 eV/cell, V 494 Å³/cell, M_tot 8.17 μB per cell. Number 2: DFT total energy -32.083 eV/cell, V 95 Å³/cell, M_tot 1.99 μB per cell. Number 3: DFT total energy -22.976 eV/cell, V 112 Å³/cell, M_tot 1.64 μB per cell. Number 4: DFT total energy -17.707 eV/cell, V 255 Å³/cell, M_tot 0.00 μB per cell. Number 5: DFT total energy -26.223 eV/cell, V 52 Å³/cell, M_tot 0.00 μB per cell. Number 6: DFT total energy -49.142 eV/cell, V 149 Å³/cell, M_tot 0.00 μB per cell. Number 7: DFT total energy -69.533 eV/cell, V 383 Å³/cell, M_tot 0.00 μB per cell. Number 8: DFT total energy -32.367 eV/cell, V 250 Å³/cell, M_tot 0.00 μB per cell.